(1)
AlFe2ReP | PBE-GGA | relaxed

Space group: No. 123

a = 4.105 Å, b = 4.416 Å, c = 4.105 Å
α = 90.00°, β = 90.00°, γ = 90.00°
Positions (direct):
1 Re 0.000 0.500 0.000
2 Al 0.500 0.500 0.500
3 Fe 0.000 0.000 0.500
4 Fe 0.500 0.000 0.000
5 P 0.000 0.000 0.000

---

(2)
CuNi | PBE-GGA | relaxed

Space group: No. 216

a = 3.689 Å, b = 3.689 Å, c = 3.689 Å
α = 60.00°, β = 60.00°, γ = 60.00°
Positions (direct):
1 Cu 0.000 0.000 0.000
2 Ni 0.750 0.750 0.750

---

Number 1: N(E_F) 4.06 states/eV/f.u., formation energy 0.29 eV/atom, total moment 3.11 μB per cell. Number 2: N(E_F) 5.97 states/eV/f.u., formation energy 1.28 eV/atom, total moment 0.49 μB per cell.